First-principles (PBE) data for a geometry-optimized Li3CdAs structure, as listed in Alexandria via LeMat-Bulk.

The structure belongs to space group Pm-3m (No. 221); the cell edges are 4.893, 4.893 and 4.893 Å and the angles 90.00°, 90.00° and 90.00°. The distinct sites, in fractional coordinates, are Li at (0.000, 0.000, 0.500), Cd at (0.500, 0.500, 0.500) and As at (0.000, 0.000, 0.000).

As for the energy above the most stable polymorph in this dataset: 0 meV/atom. The volume is 117.2 Å³/f.u. The value obtained for the total energy is -2.620 eV/atom. Its formation enthalpy at 0 K is -0.359 eV per atom.